No. 1
Compound: RbMgV
Source: Alexandria
Functional: PBE-GGA
Structure: relaxed

Symmetry: Pnma, No. 62
Polymorph energy (0 for the lowest one): 23.2 kJ per mole of atoms
Energy relative to the elements: 0.74 eV/atom

```
RbMgV
1.0
13.9146 0.0000 0.0000
0.0000 3.9042 0.0000
0.0000 0.0000 7.4157
Rb Mg V
4 4 4
Cartesian
3.0964 0.9760 1.7272
3.8609 2.9281 5.4350
10.0537 0.9760 1.9807
10.8182 2.9281 5.6886
0.1980 0.9760 6.2055
6.7592 2.9281 2.4976
7.1553 0.9760 4.9181
13.7165 2.9281 1.2103
0.3029 2.9281 4.0099
6.6544 0.9760 0.3020
7.2602 2.9281 7.1138
13.6117 0.9760 3.4059
```

***

No. 2
Compound: Rb2MgV
Source: Alexandria
Functional: PBE-GGA
Structure: relaxed

Symmetry: I-42d, No. 122
Energy relative to the elements: 1.05 eV/atom

```
Rb2MgV
1.0
-5.1364 5.1364 3.3246
5.1364 -5.1364 3.3246
5.1364 5.1364 -3.3246
Rb Mg V
4 2 2
Cartesian
7.7045 2.3009 -0.8312
2.3009 2.5682 0.8312
-2.5682 2.8355 2.4935
2.8355 2.5682 4.1558
5.1364 0.0000 1.6623
0.0000 0.0000 3.3246
0.0000 0.0000 0.0000
0.0000 5.1364 1.6623
```

***

No. 3
Compound: RbMg3V
Source: Alexandria
Functional: PBE-GGA
Structure: relaxed

Symmetry: Pm-3m, No. 221
Polymorph energy (0 for the lowest one): 106.2 kJ per mole of atoms
Energy relative to the elements: 1.70 eV/atom

```
RbMg3V
1.0
6.2018 0.0000 0.0000
0.0000 6.2018 0.0000
0.0000 0.0000 6.2018
Rb Mg V
1 3 1
Cartesian
0.0000 0.0000 0.0000
0.0000 0.0000 3.1009
0.0000 3.1009 0.0000
3.1009 0.0000 0.0000
3.1009 3.1009 3.1009
```

***

No. 4
Compound: RbMg6V
Source: Alexandria
Functional: PBE-GGA
Structure: relaxed

Symmetry: Amm2, No. 38
Polymorph energy (0 for the lowest one): 9.4 kJ per mole of atoms
Energy relative to the elements: 0.40 eV/atom

```
RbMg6V
1.0
5.3332 0.0000 0.0000
0.0000 3.3003 5.7248
0.0000 -3.3003 5.7248
Rb Mg V
1 6 1
Cartesian
0.0000 0.0000 0.0000
0.0000 -1.5573 2.9120
0.0000 0.0000 5.6033
0.0000 1.5573 2.9120
2.6666 -1.5423 6.7429
2.6666 1.5423 6.7429
2.6666 0.0000 9.4267
2.6666 0.0000 3.8173
```